LaInMo | PBE-GGA | relaxed

Unit cell a=3.5491 b=5.8886 c=7.7487 alpha=104.37 beta=90.04 gamma=90.22
Fractional coordinates of all 6 atoms:
1 In 0.2484 0.4556 0.6595
2 In 0.7516 0.5444 0.3405
3 Mo 0.2486 0.3712 0.0287
4 Mo 0.7514 0.6288 0.9713
5 La 0.2538 0.9950 0.2583
6 La 0.7462 0.0050 0.7417

Output
Space-group type: P-1
ΔE to the lowest computed polymorph, meV per atom: 142
Energy of formation from the pure elements, meV per atom: 92
Total magnetic moment, μB/atom: 0.00